Run w
DFT (meta-GGA SCAN) results for a PBEsol-optimized structure of LaBeCl2.

Unit cell a=4.0209 b=5.9263 c=8.0718 alpha=90.00 beta=90.00 gamma=90.00
Space group Cmm2 (No. 35)
Asymmetric unit:
La (0.0000, 0.0000, 0.0000)
Be (0.0000, 0.5000, 0.7516)
Cl (0.0000, 0.0000, 0.6305)
Cl (0.0000, 0.5000, 0.2438)

=====

Run x
DFT (meta-GGA SCAN) results for a PBEsol-optimized structure of LaBeCl2.

Unit cell a=3.6730 b=3.6730 c=6.3509 alpha=90.00 beta=90.00 gamma=90.00
Space group P4/mmm (No. 123)
Asymmetric unit:
La (0.0000, 0.0000, 0.0000)
Be (0.0000, 0.0000, 0.5000)
Cl (0.5000, 0.5000, 0.2346)

=====

Run y
DFT (meta-GGA SCAN) results for a PBEsol-optimized structure of LaBeCl2.

Unit cell a=3.8071 b=4.9900 c=8.2390 alpha=90.00 beta=90.00 gamma=90.00
Space group Immm (No. 71)
Asymmetric unit:
La (0.0000, 0.0000, 0.0000)
Be (0.0000, 0.0000, 0.5000)
Cl (0.0000, 0.5000, 0.2082)

=====

Stability summary - winner: run y; margin: 16 meV/atom.